Entry 1:
Here is NaTm2PaSb4 after structural relaxation from Alexandria via LeMat-Bulk. Energies are from PBE.

abc: 7.5007 4.4036 7.5957
angles: 90.00 108.66 90.00
Space group P2/m (No. 10)
Symmetry-distinct sites (fractional):
Na  0.0000  0.0000  0.0000 (multiplicity 1)
Tm  0.0000  0.5000  0.5000 (multiplicity 1)
Tm  0.5000  0.0000  0.5000 (multiplicity 1)
Pa  0.5000  0.5000  0.0000 (multiplicity 1)
Sb  0.2521  0.0000  0.7495 (multiplicity 2)
Sb  0.2627  0.5000  0.2553 (multiplicity 2)

---

Entry 2:
Here is Na4Sc3PaSe8 after structural relaxation from Alexandria via LeMat-Bulk. Energies are from PBE.

abc: 7.9758 7.9758 21.0626
angles: 90.00 90.00 120.00
Space group R-3m (No. 166, hexagonal axes)
Symmetry-distinct sites (fractional):
Na  0.0000  0.0000  0.0000 (multiplicity 3)
Na  0.0000  0.5000  0.0000 (multiplicity 9)
Sc  0.0000  0.5000  0.5000 (multiplicity 9)
Pa  0.0000  0.0000  0.5000 (multiplicity 3)
Se  0.0000  0.0000  0.2391 (multiplicity 6)
Se  0.0094  0.5047  0.7579 (multiplicity 18)

---

Entry 3:
Here is Na2Sc2PaSe6 after structural relaxation from Alexandria via LeMat-Bulk. Energies are from PBE.

abc: 6.8854 11.9697 7.4539
angles: 90.00 107.97 90.00
Space group C2/m (No. 12)
Symmetry-distinct sites (fractional):
Na  0.0000  0.1649  0.0000 (multiplicity 4)
Sc  0.0000  0.3329  0.5000 (multiplicity 4)
Pa  0.0000  0.0000  0.5000 (multiplicity 2)
Se  0.2300  0.5000  0.7195 (multiplicity 4)
Se  0.2433  0.1712  0.7200 (multiplicity 8)

---

Entry 4:
Here is NaSc4PaSe8 after structural relaxation from Alexandria via LeMat-Bulk. Energies are from PBE.

abc: 8.0647 8.0647 20.3123
angles: 90.00 90.00 120.00
Space group R3m (No. 160, hexagonal axes)
Symmetry-distinct sites (fractional):
Na  0.0000  0.0000  0.0000 (multiplicity 3)
Sc  0.0000  0.0000  0.2607 (multiplicity 3)
Sc  0.1721  0.3442  0.4632 (multiplicity 9)
Pa  0.0000  0.0000  0.6331 (multiplicity 3)
Se  0.0000  0.0000  0.3908 (multiplicity 3)
Se  0.0000  0.0000  0.8672 (multiplicity 3)
Se  0.0233  0.5116  0.3885 (multiplicity 9)
Se  0.1717  0.3433  0.2083 (multiplicity 9)

---

Entry 5:
Here is NaSc2PaSe4 after structural relaxation from Alexandria via LeMat-Bulk. Energies are from PBE.

abc: 6.9201 3.9144 6.9847
angles: 90.00 108.39 90.00
Space group P2/m (No. 10)
Symmetry-distinct sites (fractional):
Na  0.0000  0.0000  0.0000 (multiplicity 1)
Sc  0.5000  0.0000  0.5000 (multiplicity 1)
Sc  0.5000  0.5000  0.0000 (multiplicity 1)
Pa  0.0000  0.5000  0.5000 (multiplicity 1)
Se  0.2664  0.0000  0.7597 (multiplicity 2)
Se  0.2676  0.5000  0.2565 (multiplicity 2)

---

Entry 6:
Here is Na3Sc2PaTe6 after structural relaxation from Alexandria via LeMat-Bulk. Energies are from PBE.

abc: 7.4078 12.8340 8.0198
angles: 90.00 107.97 90.00
Space group C2/m (No. 12)
Symmetry-distinct sites (fractional):
Na  0.0000  0.0000  0.0000 (multiplicity 2)
Na  0.0000  0.3369  0.0000 (multiplicity 4)
Sc  0.0000  0.1672  0.5000 (multiplicity 4)
Pa  0.0000  0.5000  0.5000 (multiplicity 2)
Te  0.2311  0.0000  0.7266 (multiplicity 4)
Te  0.2481  0.3279  0.7274 (multiplicity 8)

---

Entry 7:
Here is Na3Sc3PaTe8 after structural relaxation from Alexandria via LeMat-Bulk. Energies are from PBE.

abc: 8.5032 8.5032 22.7029
angles: 90.00 90.00 120.00
Space group R-3m (No. 166, hexagonal axes)
Symmetry-distinct sites (fractional):
Na  0.0000  0.5000  0.0000 (multiplicity 9)
Sc  0.0000  0.5000  0.5000 (multiplicity 9)
Pa  0.0000  0.0000  0.5000 (multiplicity 3)
Te  0.0000  0.0000  0.2400 (multiplicity 6)
Te  0.0133  0.5067  0.7579 (multiplicity 18)

---

Entry 8:
Here is Na4Sc3PaTe8 after structural relaxation from Alexandria via LeMat-Bulk. Energies are from PBE.

abc: 8.5380 8.5380 22.8358
angles: 90.00 90.00 120.00
Space group R-3m (No. 166, hexagonal axes)
Symmetry-distinct sites (fractional):
Na  0.0000  0.0000  0.0000 (multiplicity 3)
Na  0.0000  0.5000  0.0000 (multiplicity 9)
Sc  0.0000  0.5000  0.5000 (multiplicity 9)
Pa  0.0000  0.0000  0.5000 (multiplicity 3)
Te  0.0000  0.0000  0.2396 (multiplicity 6)
Te  0.0104  0.5052  0.7575 (multiplicity 18)

---

Entry 9:
Here is Na2Pa2Se7 after structural relaxation from Alexandria via LeMat-Bulk. Energies are from PBE.

abc: 8.7209 9.9616 7.6380
angles: 90.00 90.00 90.00
Space group Cmmm (No. 65)
Symmetry-distinct sites (fractional):
Na  0.2474  0.0000  0.0000 (multiplicity 4)
Pa  0.0000  0.2262  0.5000 (multiplicity 4)
Se  0.0000  0.0000  0.2700 (multiplicity 4)
Se  0.0000  0.5000  0.5000 (multiplicity 2)
Se  0.2500  0.2500  0.2614 (multiplicity 8)

---

Entry 10:
Here is Na5Pa3Se12 after structural relaxation from Alexandria via LeMat-Bulk. Energies are from PBE.

abc: 16.5561 16.5561 16.5561
angles: 90.00 90.00 90.00
Space group Ia-3d (No. 230)
Symmetry-distinct sites (fractional):
Na  0.0000  0.0000  0.0000 (multiplicity 16)
Na  0.0000  0.2500  0.3750 (multiplicity 24)
Pa  0.0000  0.2500  0.1250 (multiplicity 24)
Se  0.0145  0.0800  0.6591 (multiplicity 96)

---

Entry 11:
Here is Na2PaSe5 after structural relaxation from Alexandria via LeMat-Bulk. Energies are from PBE.

abc: 7.8488 7.4297 8.0888
angles: 90.00 116.27 90.00
Space group Cm (No. 8)
Symmetry-distinct sites (fractional):
Na  0.0000  0.0000  0.0000 (multiplicity 2)
Na  0.0319  0.5000  0.7673 (multiplicity 2)
Pa  0.1160  0.5000  0.2998 (multiplicity 2)
Se  0.2216  0.2605  0.6049 (multiplicity 4)
Se  0.3057  0.2561  0.1607 (multiplicity 4)
Se  0.4909  0.5000  0.6064 (multiplicity 2)

---

Entry 12:
Here is NaPaSe2 after structural relaxation from Alexandria via LeMat-Bulk. Energies are from PBE.

abc: 4.0308 4.0308 22.5544
angles: 90.00 90.00 120.00
Space group R3m (No. 160, hexagonal axes)
Symmetry-distinct sites (fractional):
Na  0.0000  0.0000  0.0000 (multiplicity 3)
Pa  0.0000  0.0000  0.1700 (multiplicity 3)
Se  0.0000  0.0000  0.5817 (multiplicity 3)
Se  0.0000  0.0000  0.7581 (multiplicity 3)

---

Entry 13:
Here is Na3Pa3Se8 after structural relaxation from Alexandria via LeMat-Bulk. Energies are from PBE.

abc: 8.5438 8.5438 21.2875
angles: 90.00 90.00 120.00
Space group R-3m (No. 166, hexagonal axes)
Symmetry-distinct sites (fractional):
Na  0.0000  0.0000  0.0000 (multiplicity 3)
Na  0.0000  0.0000  0.3798 (multiplicity 6)
Pa  0.0000  0.5000  0.5000 (multiplicity 9)
Se  0.0000  0.0000  0.2391 (multiplicity 6)
Se  0.0278  0.5139  0.7622 (multiplicity 18)

---

Entry 14:
Here is Na2PaSe3 after structural relaxation from Alexandria via LeMat-Bulk. Energies are from PBE.

abc: 5.8391 13.9536 4.3030
angles: 90.00 90.00 90.00
Space group Cmmm (No. 65)
Symmetry-distinct sites (fractional):
Na  0.0000  0.1490  0.0000 (multiplicity 4)
Pa  0.0000  0.5000  0.5000 (multiplicity 2)
Se  0.0000  0.0000  0.5000 (multiplicity 2)
Se  0.0000  0.3632  0.0000 (multiplicity 4)

---

Entry 15:
Here is NaPa3Se7 after structural relaxation from Alexandria via LeMat-Bulk. Energies are from PBE.

abc: 9.1768 10.1763 7.2421
angles: 90.00 110.69 90.00
Space group C2/m (No. 12)
Symmetry-distinct sites (fractional):
Na  0.0000  0.0000  0.0000 (multiplicity 2)
Pa  0.0000  0.2730  0.5000 (multiplicity 4)
Pa  0.0000  0.5000  0.0000 (multiplicity 2)
Se  0.0000  0.0000  0.5000 (multiplicity 2)
Se  0.1570  0.5000  0.7342 (multiplicity 4)
Se  0.1746  0.2983  0.2440 (multiplicity 8)

---

Entry 16:
Here is NaPa2Se3 after structural relaxation from Alexandria via LeMat-Bulk. Energies are from PBE.

abc: 3.9614 5.7437 12.7515
angles: 90.00 90.00 90.00
Space group Immm (No. 71)
Symmetry-distinct sites (fractional):
Na  0.0000  0.0000  0.0000 (multiplicity 2)
Pa  0.0000  0.0000  0.3309 (multiplicity 4)
Se  0.0000  0.5000  0.0000 (multiplicity 2)
Se  0.0000  0.5000  0.3364 (multiplicity 4)

---

Entry 17:
Here is NaPaSe4 after structural relaxation from Alexandria via LeMat-Bulk. Energies are from PBE.

abc: 6.3018 6.3018 7.6185
angles: 90.00 90.00 90.00
Space group P4/nbm (No. 125, origin choice 2)
Symmetry-distinct sites (fractional):
Na  0.2500  0.2500  0.0000 (multiplicity 2)
Pa  0.2500  0.2500  0.5000 (multiplicity 2)
Se  0.0974  0.5974  0.2798 (multiplicity 8)

excess energy over the best structure of this formula in the dataset = 45 meV/atom

---

Entry 18:
Here is NaPa5Se12 after structural relaxation from Alexandria via LeMat-Bulk. Energies are from PBE.

abc: 8.5953 10.0111 10.9458
angles: 90.00 90.00 90.00
Space group Immm (No. 71)
Symmetry-distinct sites (fractional):
Na  0.0000  0.0000  0.0000 (multiplicity 2)
Pa  0.0000  0.0000  0.5000 (multiplicity 2)
Pa  0.0000  0.3297  0.5000 (multiplicity 4)
Pa  0.0000  0.5000  0.1646 (multiplicity 4)
Se  0.0000  0.1933  0.2837 (multiplicity 8)
Se  0.2009  0.3384  0.0000 (multiplicity 8)
Se  0.2080  0.5000  0.3509 (multiplicity 8)

---

| no. | E_form (uncorrected) (eV per atom) | mass density (Mg/m³) | E_tot (eV/atom) |
| --- | --- | --- | --- |
| 1 | -0.6859 | 7.5 | -5.22 |
| 2 | -1.4938 | 4.7 | -5.35 |
| 3 | -1.5170 | 4.8 | -5.67 |
| 4 | -1.4970 | 4.6 | -6.07 |
| 5 | -1.4535 | 6.1 | -6.13 |
| 6 | -1.0642 | 5.3 | -4.81 |
| 7 | -1.1039 | 5.1 | -4.94 |
| 8 | -1.0942 | 5.1 | -4.78 |
| 9 | -1.0842 | 5.3 | -5.27 |
| 10 | -0.8781 | 5.1 | -4.72 |
| 11 | -0.9403 | 5.3 | -4.63 |
| 12 | -1.2398 | 6.5 | -5.69 |
| 13 | -1.3063 | 5.2 | -5.61 |
| 14 | -1.2794 | 4.9 | -5.04 |
| 15 | -1.2684 | 6.7 | -6.20 |
| 16 | -1.2114 | 8.3 | -6.34 |
| 17 | -0.9672 | 6.3 | -5.09 |
| 18 | -1.1354 | 7.5 | -6.17 |